# Cd2IrBr

A geometry-optimized Cd2IrBr structure (PBE, the Alexandria database).

It has space group P4/mmm (No. 123), with a = 5.0391 Å, b = 5.0391 Å, c = 3.1769 Å, α = 90.00°, β = 90.00° and γ = 90.00°. The inequivalent atoms are Cd at (0.0000, 0.5000, 0.0000), Ir at (0.0000, 0.0000, 0.5000) and Br at (0.5000, 0.5000, 0.5000).

As for the distance to the lowest polymorph of the same formula: 255 meV/atom. As for the crystal system: tetragonal. The raw formation energy comes out at 0.274 eV/atom. Its density of states at the Fermi level is 3.686 states/eV per cell. For the volume, the calculation gives 20.17 Å³ per atom.